#w
DFT (PBE) results for a relaxed TcSb2IF crystal.

Density of states at the Fermi level = 6.60 states/eV/cell

abc: 5.0823 5.0823 5.5501
angles: 90.00 90.00 90.00
Fractional positions:
I1 0.0000 0.0000 0.5000
Sb1 0.0000 0.5000 0.0000
Sb2 0.5000 0.0000 0.0000
Tc1 0.0000 0.0000 0.0000
F1 0.5000 0.5000 0.5000



#x
DFT (PBE) results for a relaxed TcSb2IF crystal.

Density of states at the Fermi level = 3.44 states/eV/cell

abc: 4.6696 4.6696 5.7839
angles: 90.00 90.00 90.00
Fractional positions:
I1 0.0000 0.0000 0.5000
F1 0.0000 0.0000 0.0000
Sb1 0.5000 0.0000 0.0000
Sb2 0.0000 0.5000 0.0000
Tc1 0.5000 0.5000 0.5000



The most stable arrangement is #w, and the next structure is 389 meV/atom less stable.



#w
DFT (PBE) results for a relaxed SbTe2IF crystal.

Density of states at the Fermi level = 8.34 states/eV/cell

abc: 5.7909 5.7909 5.9986
angles: 90.00 90.00 90.00
Fractional positions:
F1 0.5000 0.5000 0.5000
Te1 0.5000 0.0000 0.0000
Te2 0.0000 0.5000 0.0000
Sb1 0.0000 0.0000 0.5000
I1 0.0000 0.0000 0.0000



#x
DFT (PBE) results for a relaxed SbTe2IF crystal.

Density of states at the Fermi level = 5.67 states/eV/cell

abc: 5.8374 5.8374 4.2531
angles: 90.00 90.00 90.00
Fractional positions:
F1 0.0000 0.0000 0.0000
I1 0.5000 0.5000 0.5000
Te1 0.0000 0.5000 0.0000
Te2 0.5000 0.0000 0.0000
Sb1 0.0000 0.0000 0.5000



#y
DFT (PBE) results for a relaxed SbTe2IF crystal.

Density of states at the Fermi level = 9.74 states/eV/cell

abc: 5.8320 5.8320 5.9181
angles: 90.00 90.00 90.00
Fractional positions:
F1 0.5000 0.5000 0.5000
Te1 0.5000 0.0000 0.0000
Te2 0.0000 0.5000 0.0000
Sb1 0.0000 0.0000 0.0000
I1 0.0000 0.0000 0.5000



#z
DFT (PBE) results for a relaxed SbTe2IF crystal.

Density of states at the Fermi level = 4.62 states/eV/cell

abc: 4.7516 4.7516 6.2366
angles: 90.00 90.00 90.00
Fractional positions:
Te1 0.5000 0.0000 0.0000
Te2 0.0000 0.5000 0.0000
Sb1 0.5000 0.5000 0.5000
F1 0.0000 0.0000 0.0000
I1 0.0000 0.0000 0.5000



The most stable arrangement is #z, and the next structure is 26 meV/atom less stable.



#w
DFT (PBE) results for a relaxed TlSbI2F crystal.

Density of states at the Fermi level = 2.94 states/eV/cell

abc: 6.3602 6.3602 4.4403
angles: 90.00 90.00 90.00
Fractional positions:
Sb1 0.0000 0.0000 0.0000
Tl1 0.5000 0.5000 0.5000
I1 0.0000 0.5000 0.0000
I2 0.5000 0.0000 0.0000
F1 0.0000 0.0000 0.5000



#x
DFT (PBE) results for a relaxed TlSbI2F crystal.

Density of states at the Fermi level = 11.09 states/eV/cell

abc: 5.9968 5.9968 5.9505
angles: 90.00 90.00 90.00
Fractional positions:
F1 0.5000 0.5000 0.5000
I1 0.5000 0.0000 0.0000
I2 0.0000 0.5000 0.0000
Sb1 0.0000 0.0000 0.5000
Tl1 0.0000 0.0000 0.0000



#y
DFT (PBE) results for a relaxed TlSbI2F crystal.

Density of states at the Fermi level = 0.96 states/eV/cell

abc: 6.2364 6.2364 4.2506
angles: 90.00 90.00 90.00
Fractional positions:
Tl1 0.5000 0.5000 0.5000
I1 0.0000 0.5000 0.0000
I2 0.5000 0.0000 0.0000
F1 0.0000 0.0000 0.0000
Sb1 0.0000 0.0000 0.5000



The most stable arrangement is #w, and the next structure is 238 meV/atom less stable.